Record 1
The following is a DFT calculation (PBE-GGA) of a geometry-optimized CaTa2Se structure.

The value obtained for the density of states at the Fermi level is 7.35 states/eV per cell. As for the uncorrected formation energy: 285.2 meV/atom.

It has space group Imm2 (No. 44), with a = 3.198 Å, b = 5.547 Å, c = 9.717 Å, α = 90.00°, β = 90.00° and γ = 90.00°. The inequivalent atoms are Ca at (0.000, 0.000, 0.000), Ta at (0.000, 0.000, 0.463), Ta at (0.000, 0.500, 0.198) and Se at (0.000, 0.500, 0.751).

=====

Record 2
The following is a DFT calculation (PBE-GGA) of a geometry-optimized Th2As3PRh4 structure.

For the formation energy, the calculation gives -0.995 eV per atom. The value obtained for the density of states at the Fermi level is 5.80 states/eV per cell.

It has space group P-4m2 (No. 115), with a = 4.323 Å, b = 4.323 Å, c = 9.715 Å, α = 90.00°, β = 90.00° and γ = 90.00°. The inequivalent atoms are Th at (0.000, 0.500, 0.245), As at (0.000, 0.000, 0.000), As at (0.000, 0.500, 0.638), P at (0.500, 0.500, 0.000), Rh at (0.000, 0.000, 0.500), Rh at (0.000, 0.500, 0.890) and Rh at (0.500, 0.500, 0.500).

=====

Record 3
The following is a DFT calculation (PBE-GGA) of a geometry-optimized HoPu2Pb9 structure.

For the formation energy, the calculation gives -0.097 eV per atom. The value obtained for the density of states at the Fermi level is 24.71 states/eV per cell.

It has space group P4/mmm (No. 123), with a = 5.636 Å, b = 5.636 Å, c = 11.200 Å, α = 90.00°, β = 90.00° and γ = 90.00°. The inequivalent atoms are Ho at (0.000, 0.000, 0.000), Pu at (0.000, 0.000, 0.331), Pb at (0.000, 0.500, 0.162), Pb at (0.000, 0.500, 0.500), Pb at (0.500, 0.500, 0.000) and Pb at (0.500, 0.500, 0.331).

=====

Record 4
The following is a DFT calculation (PBE-GGA) of a geometry-optimized Zr3SiRh structure.

The calculation puts the distance to the lowest polymorph of the same formula at 0 meV/atom. The value obtained for the density of states at the Fermi level is 4.41 states/eV per cell. As for the uncorrected formation energy: 277.1 meV/atom.

It has space group Pm-3m (No. 221), with a = 4.971 Å, b = 4.971 Å, c = 4.971 Å, α = 90.00°, β = 90.00° and γ = 90.00°. The inequivalent atoms are Zr at (0.000, 0.000, 0.500), Si at (0.500, 0.500, 0.500) and Rh at (0.000, 0.000, 0.000).

=====

Record 5
The following is a DFT calculation (PBE-GGA) of a geometry-optimized Cs6Rb5 structure.

The calculation puts the distance to the lowest polymorph of the same formula at 0 meV/atom. For the formation energy, the calculation gives 0.017 eV per atom. The value obtained for the density of states at the Fermi level is 23.71 states/eV per cell.

It has space group C2/m (No. 12), with a = 15.960 Å, b = 20.357 Å, c = 8.253 Å, α = 90.00°, β = 121.08° and γ = 90.00°. The inequivalent atoms are Cs at (0.191, 0.000, 0.190), Cs at (0.200, 0.152, 0.699), Rb at (0.000, 0.221, 0.000), Rb at (0.000, 0.365, 0.500) and Rb at (0.000, 0.500, 0.000).

=====

Record 6
The following is a DFT calculation (PBE-GGA) of a geometry-optimized LiZrTc2N4 structure.

The value obtained for the density of states at the Fermi level is 9.28 states/eV per cell. As for the uncorrected formation energy: -393.3 meV/atom.

It has space group Pmn2_1 (No. 31), with a = 6.728 Å, b = 5.549 Å, c = 5.428 Å, α = 90.00°, β = 90.00° and γ = 90.00°. The inequivalent atoms are Li at (0.000, 0.160, 0.000), Zr at (0.000, 0.848, 0.520), Tc at (0.244, 0.374, 0.470), N at (0.000, 0.219, 0.376), N at (0.000, 0.780, 0.908) and N at (0.242, 0.703, 0.327).